Compound: Mg3HIr
Source: Alexandria via LeMat-Bulk
Functional: PBE
Structure: optimized geometry

Structure (POSCAR):
```
Mg3HIr
1.0
4.531 0.000 0.000
2.243 4.973 0.000
2.153 0.068 6.925
Mg H Ir
6 2 2
direct
0.000 0.000 0.000
0.004 0.449 0.538
0.248 0.383 0.123
0.385 0.862 0.379
0.662 0.038 0.665
0.715 0.604 0.955
0.226 0.343 0.823
0.848 0.967 0.344
0.318 0.614 0.741
0.695 0.301 0.316
```

## Properties
**Distance to the lowest polymorph of the same formula**: 0.0 kJ/mol of atoms
**DOS at the Fermi energy**: 0.183 states/eV per atom
**M_tot**: 0.00 μB per formula unit


Compound: Mg2H2Ir
Source: Alexandria via LeMat-Bulk
Functional: PBE
Structure: optimized geometry

Structure (POSCAR):
```
Mg2H2Ir
1.0
0.000 4.606 3.030
4.561 0.000 3.030
4.561 4.606 0.000
Mg H Ir
4 4 2
direct
0.218 0.782 0.218
0.240 0.672 0.760
0.672 0.240 0.328
0.782 0.218 0.782
0.490 0.971 0.275
0.725 0.736 0.510
0.736 0.725 0.029
0.971 0.490 0.264
0.230 0.230 0.270
0.730 0.730 0.770
```

## Properties
**Distance to the lowest polymorph of the same formula**: 4.6 kJ/mol of atoms
**DOS at the Fermi energy**: 0.308 states/eV per atom
**M_tot**: 0.00 μB per formula unit


Compound: MgH2Ir5
Source: Alexandria via LeMat-Bulk
Functional: PBE
Structure: optimized geometry

Structure (POSCAR):
```
MgH2Ir5
1.0
2.467 -4.321 0.000
2.467 4.321 0.000
-0.018 0.000 4.514
Mg H Ir
1 2 5
direct
0.000 0.000 0.000
0.610 0.610 0.040
0.975 0.975 0.482
0.291 0.651 0.010
0.346 0.346 0.511
0.605 0.974 0.511
0.651 0.291 0.010
0.974 0.605 0.511
```

## Properties
**Distance to the lowest polymorph of the same formula**: 0.3 kJ/mol of atoms
**DOS at the Fermi energy**: 0.871 states/eV per atom
**M_tot**: 0.00 μB per formula unit


Compound: MgH3Ir
Source: Alexandria via LeMat-Bulk
Functional: PBE
Structure: optimized geometry

Structure (POSCAR):
```
MgH3Ir
1.0
3.332 0.000 0.000
-1.666 2.886 0.000
0.000 0.000 8.958
Mg H Ir
2 6 2
direct
0.000 0.000 0.000
0.000 0.000 0.500
0.000 0.000 0.250
0.000 0.000 0.750
0.333 0.667 0.064
0.333 0.667 0.436
0.667 0.333 0.564
0.667 0.333 0.936
0.333 0.667 0.250
0.667 0.333 0.750
```

## Properties
**DFT total energy**: -4.23 eV/atom
**DOS at the Fermi energy**: 0.000 states/eV per atom
**M_tot**: 0.00 μB per formula unit


Compound: MgH2Ir2
Source: Alexandria via LeMat-Bulk
Functional: PBE
Structure: optimized geometry

Structure (POSCAR):
```
MgH2Ir2
1.0
2.833 0.000 0.000
-0.006 4.753 0.000
-1.407 -1.338 4.471
Mg H Ir
1 2 2
direct
0.000 0.000 0.000
0.347 0.480 0.695
0.656 0.521 0.305
0.251 0.762 0.499
0.751 0.239 0.501
```

## Properties
**Distance to the lowest polymorph of the same formula**: 1.4 kJ/mol of atoms
**DOS at the Fermi energy**: 0.413 states/eV per atom
**M_tot**: 0.00 μB per formula unit


Compound: MgHIr
Source: Alexandria via LeMat-Bulk
Functional: PBE
Structure: optimized geometry

Structure (POSCAR):
```
MgHIr
1.0
3.370 0.000 0.000
0.000 3.370 0.000
0.000 0.000 6.144
Mg H Ir
2 2 2
direct
0.000 0.000 0.250
0.000 0.000 0.750
0.000 0.500 0.000
0.500 0.000 0.500
0.500 0.500 0.000
0.500 0.500 0.500
```

## Properties
**DFT total energy**: -4.83 eV/atom
**DOS at the Fermi energy**: 0.624 states/eV per atom
**M_tot**: 0.00 μB per formula unit


Compound: MgH2Ir3
Source: Alexandria via LeMat-Bulk
Functional: PBE
Structure: optimized geometry

Structure (POSCAR):
```
MgH2Ir3
1.0
4.839 0.000 0.000
0.000 2.829 0.000
-1.503 0.000 4.807
Mg H Ir
1 2 3
direct
0.000 0.000 0.000
0.351 0.500 0.265
0.839 0.500 0.177
0.001 0.500 0.538
0.481 0.500 0.976
0.501 0.000 0.525
```

## Properties
**Distance to the lowest polymorph of the same formula**: 0.0 kJ/mol of atoms
**DOS at the Fermi energy**: 0.491 states/eV per atom
**M_tot**: 0.00 μB per formula unit


Compound: MgH2Ir3
Source: Alexandria via LeMat-Bulk
Functional: PBE
Structure: optimized geometry

Structure (POSCAR):
```
MgH2Ir3
1.0
3.842 0.000 0.000
0.000 2.882 2.884
0.000 -2.882 2.884
Mg H Ir
1 2 3
direct
0.000 0.000 0.000
0.000 0.498 0.944
0.000 0.944 0.498
0.000 0.493 0.493
0.500 0.002 0.500
0.500 0.500 0.002
```

## Properties
**Distance to the lowest polymorph of the same formula**: 0.4 kJ/mol of atoms
**DOS at the Fermi energy**: 0.700 states/eV per atom
**M_tot**: 0.00 μB per formula unit


Compound: Mg2H6Ir
Source: Alexandria via LeMat-Bulk
Functional: PBE
Structure: optimized geometry

Structure (POSCAR):
```
Mg2H6Ir
1.0
4.582 -1.917 0.000
4.582 1.917 0.000
-3.773 0.000 5.383
Mg H Ir
2 6 1
direct
0.000 0.000 0.000
0.045 0.045 0.503
0.225 0.225 0.362
0.300 0.300 0.804
0.533 0.533 0.556
0.594 0.594 0.947
0.876 0.876 0.627
0.897 0.897 0.165
0.403 0.403 0.661
```

## Properties
**DFT total energy**: -3.83 eV/atom
**DOS at the Fermi energy**: 0.076 states/eV per atom
**M_tot**: 0.00 μB per formula unit


Compound: Mg5HIr2
Source: Alexandria via LeMat-Bulk
Functional: PBE
Structure: optimized geometry

Structure (POSCAR):
```
Mg5HIr2
1.0
4.640 0.000 0.000
-0.047 5.388 0.000
-0.028 -0.443 5.375
Mg H Ir
5 1 2
direct
0.000 0.000 0.000
0.000 0.376 0.629
0.247 0.539 0.165
0.523 0.070 0.329
0.523 0.704 0.693
0.701 0.395 0.019
0.031 0.876 0.500
0.495 0.211 0.835
```

## Properties
**Distance to the lowest polymorph of the same formula**: 0.5 kJ/mol of atoms
**DOS at the Fermi energy**: 0.372 states/eV per atom
**M_tot**: 0.00 μB per formula unit


Compound: Mg2H6Ir
Source: Alexandria via LeMat-Bulk
Functional: PBE
Structure: optimized geometry

Structure (POSCAR):
```
Mg2H6Ir
1.0
4.624 0.000 0.000
0.000 4.624 0.000
0.000 0.000 8.201
Mg H Ir
4 12 2
direct
0.000 0.000 0.168
0.000 0.000 0.832
0.500 0.500 0.332
0.500 0.500 0.668
0.189 0.189 0.359
0.189 0.189 0.641
0.230 0.230 0.000
0.270 0.730 0.500
0.311 0.689 0.141
0.311 0.689 0.859
0.689 0.311 0.141
0.689 0.311 0.859
0.730 0.270 0.500
0.770 0.770 0.000
0.811 0.811 0.359
0.811 0.811 0.641
0.000 0.000 0.500
0.500 0.500 0.000
```

## Properties
**DFT total energy**: -3.70 eV/atom
**DOS at the Fermi energy**: 0.169 states/eV per atom
**M_tot**: 0.00 μB per formula unit


Compound: MgH3Ir
Source: Alexandria via LeMat-Bulk
Functional: PBE
Structure: optimized geometry

Structure (POSCAR):
```
MgH3Ir
1.0
3.129 0.000 0.000
-1.564 2.709 0.000
0.000 0.000 10.720
Mg H Ir
2 6 2
direct
0.333 0.667 0.250
0.667 0.333 0.750
0.000 0.000 0.250
0.000 0.000 0.750
0.333 0.667 0.053
0.333 0.667 0.447
0.667 0.333 0.553
0.667 0.333 0.947
0.000 0.000 0.000
0.000 0.000 0.500
```

## Properties
**DFT total energy**: -3.89 eV/atom
**DOS at the Fermi energy**: 0.156 states/eV per atom
**M_tot**: 0.00 μB per formula unit


Compound: MgH5Ir2
Source: Alexandria via LeMat-Bulk
Functional: PBE
Structure: optimized geometry

Structure (POSCAR):
```
MgH5Ir2
1.0
4.059 0.000 0.000
-0.245 4.067 0.000
-1.314 -1.401 4.372
Mg H Ir
1 5 2
direct
0.000 0.000 0.000
0.252 0.617 0.773
0.532 0.532 0.356
0.542 0.997 0.292
0.617 0.252 0.774
0.997 0.541 0.292
0.346 0.863 0.540
0.862 0.346 0.539
```

## Properties
**Distance to the lowest polymorph of the same formula**: 0.0 kJ/mol of atoms
**DOS at the Fermi energy**: 0.357 states/eV per atom
**M_tot**: 0.00 μB per formula unit


Compound: MgH2Ir6
Source: Alexandria via LeMat-Bulk
Functional: PBE
Structure: optimized geometry

Structure (POSCAR):
```
MgH2Ir6
1.0
4.655 -2.391 0.000
4.655 2.391 0.000
-1.605 0.000 5.208
Mg H Ir
1 2 6
direct
0.000 0.000 0.000
0.091 0.754 0.609
0.246 0.909 0.391
0.439 0.080 0.878
0.447 0.078 0.383
0.479 0.513 0.250
0.487 0.521 0.750
0.920 0.561 0.122
0.922 0.553 0.617
```

## Properties
**Distance to the lowest polymorph of the same formula**: 1.1 kJ/mol of atoms
**DOS at the Fermi energy**: 0.482 states/eV per atom
**M_tot**: 0.00 μB per formula unit


Compound: Mg4H3Ir2
Source: Alexandria via LeMat-Bulk
Functional: PBE
Structure: optimized geometry

Structure (POSCAR):
```
Mg4H3Ir2
1.0
3.949 -2.344 0.000
3.949 2.344 0.000
-3.324 0.000 6.624
Mg H Ir
4 3 2
direct
0.156 0.156 0.370
0.246 0.312 0.873
0.688 0.754 0.127
0.844 0.844 0.630
0.261 0.739 0.500
0.667 0.250 0.116
0.750 0.333 0.884
0.473 0.464 0.302
0.536 0.527 0.698
```

## Properties
**Distance to the lowest polymorph of the same formula**: 2.5 kJ/mol of atoms
**DOS at the Fermi energy**: 0.223 states/eV per atom
**M_tot**: 0.00 μB per formula unit


Compound: MgH2Ir2
Source: Alexandria via LeMat-Bulk
Functional: PBE
Structure: optimized geometry

Structure (POSCAR):
```
MgH2Ir2
1.0
5.406 0.000 0.000
0.000 5.406 0.000
0.000 0.000 3.652
Mg H Ir
2 4 4
direct
0.000 0.000 0.000
0.500 0.500 0.000
0.152 0.348 0.000
0.348 0.848 0.000
0.652 0.152 0.000
0.848 0.652 0.000
0.174 0.326 0.500
0.326 0.826 0.500
0.674 0.174 0.500
0.826 0.674 0.500
```

## Properties
**Distance to the lowest polymorph of the same formula**: 6.4 kJ/mol of atoms
**DOS at the Fermi energy**: 0.517 states/eV per atom
**M_tot**: 0.00 μB per formula unit


Compound: Mg2H8Ir
Source: Alexandria via LeMat-Bulk
Functional: PBE
Structure: optimized geometry

Structure (POSCAR):
```
Mg2H8Ir
1.0
5.986 -1.923 0.000
5.986 1.923 0.000
-0.047 0.000 4.260
Mg H Ir
2 8 1
direct
0.151 0.151 0.006
0.849 0.849 0.994
0.141 0.141 0.504
0.311 0.311 0.993
0.346 0.653 0.249
0.347 0.654 0.751
0.653 0.346 0.249
0.654 0.347 0.751
0.689 0.689 0.007
0.859 0.859 0.496
0.000 0.000 0.500
```

## Properties
**Distance to the lowest polymorph of the same formula**: 0.0 kJ/mol of atoms
**DOS at the Fermi energy**: 0.065 states/eV per atom
**M_tot**: 0.00 μB per formula unit


Compound: Mg2H2Ir3
Source: Alexandria via LeMat-Bulk
Functional: PBE
Structure: optimized geometry

Structure (POSCAR):
```
Mg2H2Ir3
1.0
2.903 0.000 0.000
-1.443 4.667 0.000
-0.005 -1.585 6.223
Mg H Ir
2 2 3
direct
0.113 0.225 0.359
0.887 0.775 0.641
0.356 0.709 0.352
0.644 0.291 0.648
0.187 0.376 0.817
0.500 0.000 0.000
0.813 0.624 0.183
```

## Properties
**Distance to the lowest polymorph of the same formula**: 0.0 kJ/mol of atoms
**DOS at the Fermi energy**: 0.239 states/eV per atom
**M_tot**: 0.00 μB per formula unit


Compound: Mg2H5Ir
Source: Alexandria via LeMat-Bulk
Functional: PBE
Structure: optimized geometry

Structure (POSCAR):
```
Mg2H5Ir
1.0
3.038 0.000 0.000
1.512 4.887 0.000
1.509 0.486 4.947
Mg H Ir
2 5 1
direct
0.000 0.000 0.000
0.391 0.687 0.537
0.059 0.615 0.270
0.350 0.273 0.027
0.693 0.781 0.834
0.740 0.079 0.444
0.997 0.318 0.692
0.187 0.263 0.366
```

## Properties
**Distance to the lowest polymorph of the same formula**: 15.0 kJ/mol of atoms
**M_tot**: 0.00 μB per formula unit


Compound: MgHIr
Source: Alexandria via LeMat-Bulk
Functional: PBE
Structure: optimized geometry

Structure (POSCAR):
```
MgHIr
1.0
4.625 0.000 0.000
0.000 3.110 0.000
-0.361 0.000 4.695
Mg H Ir
2 2 2
direct
0.234 0.000 0.261
0.766 0.000 0.739
0.000 0.500 0.500
0.500 0.500 0.500
0.270 0.500 0.787
0.730 0.500 0.213
```

## Properties
**DFT total energy**: -4.91 eV/atom
**DOS at the Fermi energy**: 0.221 states/eV per atom
**M_tot**: 0.00 μB per formula unit


Compound: MgH5Ir2
Source: Alexandria via LeMat-Bulk
Functional: PBE
Structure: optimized geometry

Structure (POSCAR):
```
MgH5Ir2
1.0
2.929 -3.200 0.000
2.929 3.200 0.000
-2.801 0.000 3.615
Mg H Ir
1 5 2
direct
0.000 0.000 0.000
0.000 0.500 0.000
0.002 0.002 0.502
0.394 0.394 0.606
0.500 0.000 0.000
0.606 0.606 0.394
0.271 0.730 0.500
0.730 0.271 0.500
```

## Properties
**Distance to the lowest polymorph of the same formula**: 2.2 kJ/mol of atoms
**DOS at the Fermi energy**: 0.304 states/eV per atom
**M_tot**: 0.00 μB per formula unit


Compound: MgH2Ir2
Source: Alexandria via LeMat-Bulk
Functional: PBE
Structure: optimized geometry

Structure (POSCAR):
```
MgH2Ir2
1.0
5.018 0.000 0.000
-2.506 4.714 0.000
-0.004 -2.887 4.767
Mg H Ir
2 4 4
direct
0.000 0.000 0.000
0.175 0.354 0.622
0.426 0.915 0.951
0.683 0.440 0.673
0.699 0.886 0.622
0.990 0.467 0.000
0.082 0.703 0.374
0.557 0.653 0.249
0.569 0.179 0.312
0.591 0.177 0.812
```

## Properties
**Distance to the lowest polymorph of the same formula**: 2.4 kJ/mol of atoms
**DOS at the Fermi energy**: 0.270 states/eV per atom
**M_tot**: 0.00 μB per formula unit


Compound: Mg5H2Ir3
Source: Alexandria via LeMat-Bulk
Functional: PBE
Structure: optimized geometry

Structure (POSCAR):
```
Mg5H2Ir3
1.0
4.967 -2.195 0.000
4.967 2.195 0.000
-1.698 0.000 6.786
Mg H Ir
5 2 3
direct
0.000 0.000 0.000
0.149 0.149 0.474
0.316 0.313 0.159
0.687 0.684 0.841
0.851 0.851 0.526
0.229 0.227 0.849
0.773 0.771 0.151
0.383 0.382 0.793
0.500 0.500 0.500
0.618 0.617 0.207
```

## Properties
**Distance to the lowest polymorph of the same formula**: 0.0 kJ/mol of atoms
**DOS at the Fermi energy**: 0.497 states/eV per atom
**M_tot**: 0.00 μB per formula unit